(1)
Zn3FeTe4 PBE relaxed; uncorrected energy = -26.90 eV/f.u.; V = 28.88 Å³/atom; M_tot = 4.00 μB per formula unit
1.0
-1.074 3.089 5.192
0.018 -5.272 3.140
6.041 0.565 0.914
Zn Fe Te
3 1 4
Direct
0.500 0.500 0.000 Zn
0.000 0.500 0.500 Zn
0.500 0.000 0.500 Zn
0.000 0.000 0.000 Fe
0.246 0.246 0.246 Te
0.246 0.754 0.754 Te
0.754 0.246 0.754 Te
0.754 0.754 0.246 Te


(2)
ZnFe2Te4 PBE relaxed; uncorrected energy = -30.95 eV/f.u.; V = 23.15 Å³/atom; M_tot = 1.05 μB per formula unit
1.0
3.750 0.429 6.723
0.995 6.833 3.430
-3.856 1.666 6.465
Fe Te Zn
4 8 2
Direct
0.625 0.125 0.125 Fe
0.125 0.625 0.125 Fe
0.125 0.125 0.625 Fe
0.125 0.125 0.125 Fe
0.332 0.889 0.889 Te
0.361 0.361 0.361 Te
0.889 0.889 0.332 Te
0.361 0.918 0.361 Te
0.889 0.889 0.889 Te
0.918 0.361 0.361 Te
0.889 0.332 0.889 Te
0.361 0.361 0.918 Te
0.750 0.750 0.750 Zn
0.500 0.500 0.500 Zn


(3)
Zr2FeTe4 PBE relaxed; uncorrected energy = -39.63 eV/f.u.; V = 32.92 Å³/atom; M_tot = 2.13 μB per formula unit
1.0
-3.119 3.119 5.920
3.119 -3.119 5.920
3.119 3.119 -5.920
Te Fe Zr
4 1 2
Direct
0.655 0.605 0.524 Te
0.395 0.919 0.051 Te
0.081 0.131 0.476 Te
0.869 0.345 0.949 Te
0.000 0.000 0.000 Fe
0.500 0.500 0.000 Zr
0.250 0.750 0.500 Zr


(4)
ThFe3 PBE relaxed; V = 15.80 Å³/atom; formation enthalpy at 0 K = 0.253 eV/atom; M_tot = 6.09 μB per formula unit
1.0
-1.914 1.914 4.315
1.914 -1.914 4.315
1.914 1.914 -4.315
Fe Th
3 1
Direct
0.250 0.750 0.500 Fe
0.500 0.500 0.000 Fe
0.750 0.250 0.500 Fe
0.000 0.000 0.000 Th